# LaZn4Mo GGA-PBE relaxed
# ΔH_f (0 K), eV per atom: 0.00
data_LaZn4Mo
_chemical_formula_sum 'La4 Zn16 Mo4'
_space_group_name_H-M_alt 'F -4 3 m'
_space_group_IT_number 216
_space_group_name_Hall 'F -4 2 3'
_cell_length_a 7.5321
_cell_length_b 7.5321
_cell_length_c 7.5321
_cell_angle_alpha 90.00
_cell_angle_beta 90.00
_cell_angle_gamma 90.00
loop_
_atom_site_label
_atom_site_fract_x
_atom_site_fract_y
_atom_site_fract_z
La1 0.0000 0.0000 0.0000
Zn1 0.1227 0.1227 0.3773
Mo1 0.2500 0.2500 0.7500